DFT (PBE-GGA) results for a relaxed structure of Cr2IrRu.

a b c (Å): 4.5891 4.5891 4.5530
angles (deg): 80.26 80.26 33.99
Last column: nearest neighbours and their distance in Å.
Element x y z (fractional)
Cr (0.7520, 0.7520, 0.7420)  4 Ru 2.60-2.69, 3 Ir 2.60-2.61, 5 Cr 2.67-2.69
Cr (0.9991, 0.9991, 0.0096)  3 Ru 2.58-2.61, 4 Ir 2.61-2.67, 5 Cr 2.67-2.69
Ir (0.4984, 0.4984, 0.5179)  7 Cr 2.60-2.67, 2 Ir 2.68, 3 Ru 2.72-2.73
Ru (0.2504, 0.2504, 0.2305)  7 Cr 2.58-2.69, 2 Ru 2.68, 3 Ir 2.72-2.73

---

DFT (PBE-GGA) results for a relaxed structure of CrIrRu4.

a b c (Å): 2.6969 4.6519 7.0961
angles (deg): 71.07 100.95 90.00
Last column: nearest neighbours and their distance in Å.
Element x y z (fractional)
Ru (0.7576, 0.5031, 0.7608)  2 Cr 2.62, 9 Ru 2.66-2.79, 1 Ir 2.75
Ru (0.9189, 0.9999, 0.0834)  6 Ru 2.64-2.70, 4 Cr 2.67-2.71, 2 Ir 2.69
Ru (0.0822, 0.5034, 0.4099)  2 Cr 2.65, 6 Ru 2.65-2.79, 4 Ir 2.66-2.72
Ru (0.2569, 0.9958, 0.7592)  1 Cr 2.62, 9 Ru 2.64-2.77, 2 Ir 2.73
Ir (0.5848, 0.0080, 0.4152)  9 Ru 2.66-2.75, 1 Cr 2.68, 2 Ir 2.70
Cr (0.4185, 0.5060, 0.0825)  9 Ru 2.62-2.71, 1 Ir 2.68, 2 Cr 2.70

Properties
- polymorph energy (0 for the lowest one) (eV/f.u.) = 0.00

---

DFT (PBE-GGA) results for a relaxed structure of CrIrRu2.

a b c (Å): 8.8543 8.8543 8.8543
angles (deg): 17.48 17.48 17.48
Last column: nearest neighbours and their distance in Å.
Element x y z (fractional)
Cr (0.2500, 0.2500, 0.2500)  6 Ru 2.61, 6 Cr 2.69
Ir (0.7500, 0.7500, 0.7500)  6 Ir 2.69, 6 Ru 2.75
Ru (0.9967, 0.9967, 0.9967)  3 Cr 2.61, 6 Ru 2.69, 3 Ir 2.75
Ru (0.5033, 0.5033, 0.5033)  3 Cr 2.61, 6 Ru 2.69, 3 Ir 2.75

Properties
- polymorph energy (0 for the lowest one) (eV/f.u.) = 0.66

---

DFT (PBE-GGA) results for a relaxed structure of CrIrRu2.

a b c (Å): 3.7877 3.7872 3.8058
angles (deg): 90.00 90.00 90.00
Last column: nearest neighbours and their distance in Å.
Element x y z (fractional)
Ir (0.0000, 0.5000, 0.5000)  4 Cr 2.68, 8 Ru 2.68
Cr (0.5000, 0.0000, 0.5000)  4 Ir 2.68, 8 Ru 2.68
Ru (0.5000, 0.5000, 0.0000)  4 Ru 2.68, 4 Cr 2.68, 4 Ir 2.68
Ru (0.0000, 0.0000, 0.0000)  4 Ru 2.68, 4 Ir 2.68, 4 Cr 2.68

Properties
- polymorph energy (0 for the lowest one) (eV/f.u.) = 0.09

---

DFT (PBE-GGA) results for a relaxed structure of Cr2IrRu.

a b c (Å): 4.5351 4.5351 4.5351
angles (deg): 130.76 130.80 72.16
Last column: nearest neighbours and their distance in Å.
Element x y z (fractional)
Ir (0.7500, 0.2500, 0.5000)  8 Cr 2.63, 4 Ru 2.67
Ru (0.2500, 0.7500, 0.5000)  8 Cr 2.63, 4 Ir 2.67
Cr (0.0000, 0.0000, 0.0000)  4 Ru 2.63, 4 Ir 2.63, 4 Cr 2.67
Cr (0.5000, 0.5000, 0.0000)  4 Ru 2.63, 4 Ir 2.63, 4 Cr 2.67

---

DFT (PBE-GGA) results for a relaxed structure of CrIr2Ru.

a b c (Å): 4.2794 2.7128 4.7102
angles (deg): 90.00 90.00 90.00
Last column: nearest neighbours and their distance in Å.
Element x y z (fractional)
Ir (0.5000, 0.1251, 0.2980)  4 Ru 2.65, 4 Cr 2.66-2.78, 4 Ir 2.68-2.71
Ir (0.0000, 0.1249, 0.9544)  4 Cr 2.66, 4 Ru 2.68-2.76, 4 Ir 2.68-2.71
Ru (0.0000, 0.6250, 0.4639)  2 Cr 2.62, 8 Ir 2.65-2.76, 2 Ru 2.71
Cr (0.5000, 0.6250, 0.7837)  2 Ru 2.62, 8 Ir 2.66-2.78, 2 Cr 2.71

Properties
- polymorph energy (0 for the lowest one) (eV/f.u.) = 0.00

---

DFT (PBE-GGA) results for a relaxed structure of Cr2IrRu.

a b c (Å): 3.6773 2.6620 5.9749
angles (deg): 63.35 90.00 90.00
Last column: nearest neighbours and their distance in Å.
Element x y z (fractional)
Cr (0.0000, 0.0043, 0.9959)  4 Ru 2.62, 4 Cr 2.63-2.71, 4 Ir 2.64-2.65
Cr (0.0000, 0.4957, 0.5041)  4 Ru 2.62, 4 Cr 2.63-2.71, 4 Ir 2.64-2.65
Ru (0.5000, 0.7500, 0.7500)  8 Cr 2.62, 2 Ru 2.66, 2 Ir 2.67
Ir (0.5000, 0.2500, 0.2500)  8 Cr 2.64-2.65, 2 Ir 2.66, 2 Ru 2.67

---

DFT (PBE-GGA) results for a relaxed structure of CrIr2Ru.

a b c (Å): 3.2539 3.2539 5.4079
angles (deg): 90.00 90.00 90.00
Last column: nearest neighbours and their distance in Å.
Element x y z (fractional)
Ru (0.0000, 0.0000, 0.5034)  6 Ir 2.64-2.77, 4 Cr 2.67
Ir (0.0000, 0.0000, 0.9909)  4 Cr 2.63, 2 Ru 2.64-2.77, 4 Ir 2.70
Ir (0.5000, 0.5000, 0.2515)  4 Ru 2.67, 2 Cr 2.69-2.72, 4 Ir 2.70
Cr (0.5000, 0.5000, 0.7542)  6 Ir 2.63-2.72, 4 Ru 2.67

Properties
- polymorph energy (0 for the lowest one) (eV/f.u.) = 1.80

---

DFT (PBE-GGA) results for a relaxed structure of Cr2IrRu.

a b c (Å): 8.7340 8.7340 8.7340
angles (deg): 17.59 17.59 17.59
Last column: nearest neighbours and their distance in Å.
Element x y z (fractional)
Ru (0.7447, 0.7447, 0.7447)  3 Cr 2.53, 6 Ru 2.67
Cr (0.0001, 0.0001, 0.0001)  3 Ru 2.53, 9 Cr 2.64-2.67
Cr (0.2504, 0.2504, 0.2504)  3 Ir 2.55, 9 Cr 2.64-2.67
Ir (0.5048, 0.5048, 0.5048)  3 Cr 2.55, 6 Ir 2.67

---

DFT (PBE-GGA) results for a relaxed structure of CrIr5Ru2.

a b c (Å): 6.5434 6.5434 7.2342
angles (deg): 116.89 116.89 90.00
Last column: nearest neighbours and their distance in Å.
Element x y z (fractional)
Ir (0.0000, 0.0000, 0.0000)  4 Ru 2.54, 2 Cr 2.78
Ir (0.6828, 0.1828, 0.6599)  4 Ir 2.60-2.72, 3 Ru 2.65-2.76, 2 Cr 2.65
Ir (0.0229, 0.5229, 0.3401)  4 Ir 2.60-2.72, 3 Ru 2.65-2.76, 2 Cr 2.65
Ir (0.5229, 0.3172, 0.3401)  4 Ir 2.60-2.72, 3 Ru 2.65-2.76, 2 Cr 2.65
Ir (0.1828, 0.9771, 0.6599)  4 Ir 2.60-2.72, 3 Ru 2.65-2.76, 2 Cr 2.65
Ir (0.8172, 0.0229, 0.3401)  4 Ir 2.60-2.72, 3 Ru 2.65-2.76, 2 Cr 2.65
Ir (0.9771, 0.4771, 0.6599)  4 Ir 2.60-2.72, 3 Ru 2.65-2.76, 2 Cr 2.65
Ir (0.5000, 0.5000, 0.0000)  4 Ru 2.54, 2 Cr 2.78
Ir (0.3172, 0.8172, 0.3401)  4 Ir 2.60-2.72, 3 Ru 2.65-2.76, 2 Cr 2.65
Ir (0.4771, 0.6828, 0.6599)  4 Ir 2.60-2.72, 3 Ru 2.65-2.76, 2 Cr 2.65
Cr (0.2500, 0.2500, 0.5000)  10 Ir 2.65-2.78
Cr (0.7500, 0.7500, 0.5000)  10 Ir 2.65-2.78
Ru (0.8639, 0.6361, 0.0000)  1 Ru 2.52, 8 Ir 2.54-2.76
Ru (0.3639, 0.8639, 0.0000)  1 Ru 2.52, 8 Ir 2.54-2.76
Ru (0.6361, 0.1361, 0.0000)  1 Ru 2.52, 8 Ir 2.54-2.76
Ru (0.1361, 0.3639, 0.0000)  1 Ru 2.52, 8 Ir 2.54-2.76

Properties
- polymorph energy (0 for the lowest one) (eV/f.u.) = 3.49

---

DFT (PBE-GGA) results for a relaxed structure of Cr2IrRu.

a b c (Å): 2.6860 3.6679 5.3474
angles (deg): 90.00 90.00 90.00
Last column: nearest neighbours and their distance in Å.
Element x y z (fractional)
Cr (0.0000, 0.0000, 0.9961)  4 Ru 2.56, 2 Ir 2.59-2.75, 6 Cr 2.64-2.69
Cr (0.5000, 0.5000, 0.2463)  1 Ru 2.51, 4 Ir 2.60, 6 Cr 2.64-2.69
Ir (0.0000, 0.0000, 0.4810)  6 Cr 2.59-2.75, 2 Ir 2.69, 4 Ru 2.77
Ru (0.5000, 0.5000, 0.7767)  5 Cr 2.51-2.56, 2 Ru 2.69, 4 Ir 2.77

---

DFT (PBE-GGA) results for a relaxed structure of CrIr2Ru.

a b c (Å): 4.3068 4.3068 4.3068
angles (deg): 60.00 60.00 60.00
Last column: nearest neighbours and their distance in Å.
Element x y z (fractional)
Ir (0.2500, 0.2500, 0.2500)  4 Cr 2.64, 4 Ru 2.64
Ir (0.7500, 0.7500, 0.7500)  4 Ru 2.64, 4 Cr 2.64
Cr (0.0000, 0.0000, 0.0000)  8 Ir 2.64
Ru (0.5000, 0.5000, 0.5000)  8 Ir 2.64

Properties
- polymorph energy (0 for the lowest one) (eV/f.u.) = 2.47

---

no.,total moment (μB/f.u.),calculated volume (Å³ per cell),E_form (eV per formula unit)
1,0.2,53,0.02
2,0.3,82,0.27
3,0.0,55,0.36
4,0.6,55,-0.20
5,0.0,52,-0.17
6,0.0,55,-0.72
7,0.0,52,-0.14
8,1.0,57,1.08
9,0.0,53,0.42
10,1.4,238,2.53
11,0.2,53,0.07
12,0.0,56,1.76